(1)
Entry from Alexandria via LeMat-Bulk: crystalline DyIn4PbS8 at its relaxed geometry (PBE-GGA).

Cell: 7.9573 7.9573 20.1934 Å, 90.00 90.00 120.00°
Space group R3m (No. 160, hexagonal axes)
Inequivalent atoms, fractional coordinates:
Dy1 0.0000 0.0000 0.0000 x3
In1 0.0000 0.0000 0.6267 x3
In2 0.1675 0.3350 0.8324 x9
Pb1 0.0000 0.0000 0.3711 x3
S1 0.0000 0.0000 0.2303 x3
S2 0.0000 0.0000 0.7632 x3
S3 0.0353 0.5177 0.7566 x9
S4 0.1773 0.3547 0.5774 x9

Output
- Uncorrected formation energy: -0.747 eV/atom

=====

(2)
Entry from Alexandria via LeMat-Bulk: crystalline VSb2P at its relaxed geometry (PBE-GGA).

Cell: 6.186 6.186 12.025 Å, 90.00 90.00 90.00°
Space group I-42d (No. 122)
Inequivalent atoms, fractional coordinates:
V1 0.000 0.000 0.000 x4
Sb1 0.248 0.250 0.625 x8
P1 0.000 0.000 0.500 x4

Output
- Uncorrected formation energy: 0.456 eV/atom

=====

(3)
Entry from Alexandria via LeMat-Bulk: crystalline NiAu2 at its relaxed geometry (PBE-GGA).

Cell: 2.808 2.808 24.766 Å, 90.00 90.00 90.00°
Space group I4_1/amd (No. 141, origin choice 2)
Inequivalent atoms, fractional coordinates:
Ni1 0.000 0.250 0.375 x4
Au1 0.000 0.250 0.801 x8

Output
- Energy relative to the elements: 115 meV per atom

=====

(4)
Entry from Alexandria via LeMat-Bulk: crystalline Si2PbF at its relaxed geometry (PBE-GGA).

Cell: 3.582 3.582 24.054 Å, 90.00 90.00 90.00°
Space group I-42d (No. 122)
Inequivalent atoms, fractional coordinates:
Si1 0.246 0.250 0.125 x8
Pb1 0.000 0.000 0.000 x4
F1 0.000 0.000 0.500 x4

Output
- Relative energy among the computed polymorphs: 0.000 eV per atom
- Uncorrected formation energy: -0.407 eV/atom

=====

(5)
Entry from Alexandria via LeMat-Bulk: crystalline PmScMn4 at its relaxed geometry (PBE-GGA).

Cell: 7.146 7.146 7.146 Å, 90.00 90.00 90.00°
Space group F-43m (No. 216)
Inequivalent atoms, fractional coordinates:
Pm1 0.000 0.000 0.000 x4
Sc1 0.250 0.250 0.250 x4
Mn1 0.124 0.124 0.624 x16

Output
- Energy relative to the elements: 142 meV per atom

=====

(6)
Entry from Alexandria via LeMat-Bulk: crystalline Rb2AuIBr3 at its relaxed geometry (PBE-GGA).

Cell: 5.508 5.610 17.597 Å, 90.00 90.00 90.00°
Space group Immm (No. 71)
Inequivalent atoms, fractional coordinates:
Rb1 0.000 0.000 0.144 x4
Au1 0.000 0.000 0.500 x2
I1 0.000 0.500 0.500 x2
Br1 0.000 0.000 0.340 x4
Br2 0.000 0.500 0.000 x2

Output
- Uncorrected formation energy: -0.978 eV/atom

=====

(7)
Entry from Alexandria via LeMat-Bulk: crystalline AcNdPO at its relaxed geometry (PBE-GGA).

Cell: 4.566 4.566 9.521 Å, 90.00 90.00 90.00°
Space group P4/nmm (No. 129, origin choice 2)
Inequivalent atoms, fractional coordinates:
Ac1 0.250 0.250 0.115 x2
Nd1 0.250 0.750 0.500 x2
P1 0.250 0.250 0.686 x2
O1 0.250 0.750 0.000 x2

Output
- Uncorrected formation energy: -1.930 eV/atom

=====

N(E_F), respectively: 2.80 2.01 3.82 1.04 10.94 3.49 1.98 states/eV/f.u..
M_tot, respectively: 0.000 2.398 0.151 0.000 1.857 0.000 0.000 μB per formula unit.